No. 1
Entry from the Alexandria database: crystalline BaLiPS4 at its relaxed geometry (PBE).

Summary:
Size of the total moment in μB/cell: 0.0
Formation energy (no corrections) in eV per atom: -1.069

Geometry as CIF:
```
data_BaLiPS4
_cell_length_a 6.244
_cell_length_b 6.906
_cell_length_c 8.264
_cell_angle_alpha 90.00
_cell_angle_beta 106.51
_cell_angle_gamma 90.00
_symmetry_space_group_name_H-M 'P 1'
_symmetry_Int_Tables_number 1
_symmetry_space_group_name_Hall 'P 1'
loop_
_atom_site_label
_atom_site_type_symbol
_atom_site_fract_x
_atom_site_fract_y
_atom_site_fract_z
_atom_site_occupancy
Ba1 Ba 0.246 0.250 0.067 1
Ba2 Ba 0.754 0.750 0.933 1
Li1 Li 0.182 0.250 0.526 1
Li2 Li 0.818 0.750 0.474 1
P1 P 0.215 0.750 0.314 1
P2 P 0.785 0.250 0.686 1
S1 S 0.001 0.016 0.717 1
S2 S 0.001 0.484 0.717 1
S3 S 0.336 0.750 0.105 1
S4 S 0.450 0.750 0.537 1
S5 S 0.550 0.250 0.463 1
S6 S 0.664 0.250 0.895 1
S7 S 0.999 0.516 0.283 1
S8 S 0.999 0.984 0.283 1
```

***

No. 2
Entry from the Alexandria database: crystalline LaIn2SnPd4 at its relaxed geometry (PBE).

Summary:
Size of the total moment in μB/cell: 0.0
Energy of formation in eV per atom: -0.600

Geometry as CIF:
```
data_LaIn2SnPd4
_cell_length_a 9.261
_cell_length_b 9.261
_cell_length_c 9.261
_cell_angle_alpha 28.99
_cell_angle_beta 28.99
_cell_angle_gamma 28.99
_symmetry_space_group_name_H-M 'P 1'
_symmetry_Int_Tables_number 1
_symmetry_space_group_name_Hall 'P 1'
loop_
_atom_site_label
_atom_site_type_symbol
_atom_site_fract_x
_atom_site_fract_y
_atom_site_fract_z
_atom_site_occupancy
La1 La 0.000 0.000 0.000 1
In1 In 0.247 0.247 0.247 1
In2 In 0.753 0.753 0.753 1
Sn1 Sn 0.500 0.500 0.500 1
Pd1 Pd 0.133 0.133 0.133 1
Pd2 Pd 0.398 0.398 0.398 1
Pd3 Pd 0.602 0.602 0.602 1
Pd4 Pd 0.867 0.867 0.867 1
```

***

No. 3
Entry from the Alexandria database: crystalline CaLaTm2Bi4 at its relaxed geometry (PBE).

Summary:
Size of the total moment in μB/cell: 0.0
Energy of formation in eV per atom: -0.815

Geometry as CIF:
```
data_CaLaTm2Bi4
_cell_length_a 7.827
_cell_length_b 4.532
_cell_length_c 7.967
_cell_angle_alpha 90.00
_cell_angle_beta 109.17
_cell_angle_gamma 90.00
_symmetry_space_group_name_H-M 'P 1'
_symmetry_Int_Tables_number 1
_symmetry_space_group_name_Hall 'P 1'
loop_
_atom_site_label
_atom_site_type_symbol
_atom_site_fract_x
_atom_site_fract_y
_atom_site_fract_z
_atom_site_occupancy
Ca1 Ca 0.000 0.000 0.000 1
La1 La 0.500 0.500 0.000 1
Tm1 Tm 0.000 0.500 0.500 1
Tm2 Tm 0.500 0.000 0.500 1
Bi1 Bi 0.243 0.000 0.734 1
Bi2 Bi 0.254 0.500 0.265 1
Bi3 Bi 0.746 0.500 0.735 1
Bi4 Bi 0.757 0.000 0.266 1
```

***

No. 4
Entry from the Alexandria database: crystalline CaLaTb4 at its relaxed geometry (PBE).

Summary:
Size of the total moment in μB/cell: 0.0
Energy of formation in eV per atom: 0.073

Geometry as CIF:
```
data_CaLaTb4
_cell_length_a 3.638
_cell_length_b 5.107
_cell_length_c 11.009
_cell_angle_alpha 90.00
_cell_angle_beta 90.00
_cell_angle_gamma 90.00
_symmetry_space_group_name_H-M 'P 1'
_symmetry_Int_Tables_number 1
_symmetry_space_group_name_Hall 'P 1'
loop_
_atom_site_label
_atom_site_type_symbol
_atom_site_fract_x
_atom_site_fract_y
_atom_site_fract_z
_atom_site_occupancy
Ca1 Ca 0.000 0.000 0.000 1
La1 La 0.500 0.500 0.500 1
Tb1 Tb 0.000 0.000 0.334 1
Tb2 Tb 0.000 0.000 0.666 1
Tb3 Tb 0.500 0.500 0.177 1
Tb4 Tb 0.500 0.500 0.823 1
```

***

No. 5
Entry from the Alexandria database: crystalline RbHg3F8 at its relaxed geometry (PBE).

Summary:
Size of the total moment in μB/cell: 0.0
Formation energy (no corrections) in eV per atom: -1.569

Geometry as CIF:
```
data_RbHg3F8
_cell_length_a 7.750
_cell_length_b 7.750
_cell_length_c 7.126
_cell_angle_alpha 90.35
_cell_angle_beta 90.35
_cell_angle_gamma 34.07
_symmetry_space_group_name_H-M 'P 1'
_symmetry_Int_Tables_number 1
_symmetry_space_group_name_Hall 'P 1'
loop_
_atom_site_label
_atom_site_type_symbol
_atom_site_fract_x
_atom_site_fract_y
_atom_site_fract_z
_atom_site_occupancy
Rb1 Rb 0.000 0.000 0.000 1
Hg1 Hg 0.148 0.148 0.481 1
Hg2 Hg 0.290 0.290 0.967 1
Hg3 Hg 0.442 0.442 0.484 1
F1 F 0.160 0.160 0.786 1
F2 F 0.170 0.170 0.179 1
F3 F 0.296 0.296 0.507 1
F4 F 0.414 0.414 0.177 1
F5 F 0.430 0.430 0.792 1
F6 F 0.595 0.595 0.486 1
F7 F 0.803 0.803 0.962 1
F8 F 0.992 0.992 0.442 1
```

***

No. 6
Entry from the Alexandria database: crystalline KTlTc2 at its relaxed geometry (PBE).

Summary:
Size of the total moment in μB/cell: 0.0
Energy of formation in eV per atom: 1.212

Geometry as CIF:
```
data_KTlTc2
_cell_length_a 2.866
_cell_length_b 2.866
_cell_length_c 10.599
_cell_angle_alpha 90.00
_cell_angle_beta 90.00
_cell_angle_gamma 111.71
_symmetry_space_group_name_H-M 'P 1'
_symmetry_Int_Tables_number 1
_symmetry_space_group_name_Hall 'P 1'
loop_
_atom_site_label
_atom_site_type_symbol
_atom_site_fract_x
_atom_site_fract_y
_atom_site_fract_z
_atom_site_occupancy
K1 K 0.000 0.000 0.000 1
Tl1 Tl 0.000 0.000 0.500 1
Tc1 Tc 0.500 0.500 0.278 1
Tc2 Tc 0.500 0.500 0.722 1
```